Record 1
Density functional theory data (meta-GGA SCAN) for a crystal of Ca2CrPb relaxed with PBEsol.

Cell: 3.716 3.716 8.294 Å, 90.00 90.00 90.00°
Positions (direct):
1 Pb 0.500 0.500 0.703
2 Cr 0.000 0.000 0.545
3 Ca 0.000 0.000 0.950
4 Ca 0.500 0.500 0.302

## Properties
Symmetry ... P4mm, No. 99
Magnetic moment ... 4.759 Bohr magnetons per cell
Final energy ... -28.443 eV/atom

---

Record 2
Density functional theory data (meta-GGA SCAN) for a crystal of KCaOs2 relaxed with PBEsol.

Cell: 2.823 2.823 10.681 Å, 82.41 82.41 60.00°
Positions (direct):
1 Ca 0.500 0.500 0.500
2 K 0.000 0.000 0.000
3 Os 0.244 0.244 0.268
4 Os 0.756 0.756 0.732

## Properties
Symmetry ... R-3m, No. 166
Distance to the lowest polymorph of the same formula ... 755 meV per atom
Magnetic moment ... 0.002 Bohr magnetons per cell

---

Record 3
Density functional theory data (meta-GGA SCAN) for a crystal of BaCd2CuRe relaxed with PBEsol.

Cell: 5.239 5.239 5.500 Å, 90.00 90.00 90.00°
Positions (direct):
1 Re 0.000 0.000 0.000
2 Ba 0.000 0.000 0.500
3 Cu 0.500 0.500 0.500
4 Cd 0.000 0.500 0.000
5 Cd 0.500 0.000 0.000

## Properties
Symmetry ... P4/mmm, No. 123
Magnetic moment ... 1.344 Bohr magnetons per cell
Final energy ... -36.185 eV/atom